The following is a DFT calculation (GGA-PBE) of crystalline GaB2SF at its relaxed geometry.

Output
- crystal system = tetragonal

a b c (Å): 3.697 3.697 5.853
angles (deg): 90.00 90.00 90.00
Space group P4/mmm (No. 123)
Asymmetric unit:
1 Ga 0.000 0.000 0.000 (multiplicity 1)
2 B 0.000 0.500 0.500 (multiplicity 2)
3 S 0.500 0.500 0.500 (multiplicity 1)
4 F 0.500 0.500 0.000 (multiplicity 1)


The following is a DFT calculation (GGA-PBE) of crystalline Ga2SiBF at its relaxed geometry.

Output
- crystal system = tetragonal

a b c (Å): 4.537 4.537 3.479
angles (deg): 90.00 90.00 90.00
Space group P4/mmm (No. 123)
Asymmetric unit:
1 Ga 0.000 0.500 0.000 (multiplicity 2)
2 Si 0.000 0.000 0.500 (multiplicity 1)
3 B 0.500 0.500 0.000 (multiplicity 1)
4 F 0.500 0.500 0.500 (multiplicity 1)


The following is a DFT calculation (GGA-PBE) of crystalline SrGaB2F at its relaxed geometry.

Output
- crystal system = tetragonal

a b c (Å): 5.432 5.432 4.449
angles (deg): 90.00 90.00 90.00
Space group P4/mmm (No. 123)
Asymmetric unit:
1 Sr 0.000 0.000 0.000 (multiplicity 1)
2 Ga 0.500 0.500 0.500 (multiplicity 1)
3 B 0.000 0.500 0.000 (multiplicity 2)
4 F 0.000 0.000 0.500 (multiplicity 1)


For reference, uncorrected formation energy by record: 3.5, 0.8, 4.8 eV/f.u..
For reference, E by record: -0.27818, -0.28225, -0.22289 Ry/atom.